1.
Entry from Alexandria via LeMat-Bulk: a relaxed structure of SmPu2Rh3 (PBE).

- DFT formation energy (kcal/mol of atoms) = -11.62
- spin magnetization (μB per formula unit) = 9.5
- space-group type = P4/mmm, No. 123
- total energy (eV per atom) = -9.74

a b c (Å): 3.456 3.456 10.317
angles (deg): 90.00 90.00 90.00
Fractional positions:
Sm: 0.000 0.000 0.000
Pu: 0.000 0.000 0.337
Pu: 0.000 0.000 0.663
Rh: 0.500 0.500 0.177
Rh: 0.500 0.500 0.500
Rh: 0.500 0.500 0.823

2.
Entry from Alexandria via LeMat-Bulk: a relaxed structure of SmPu3Rh2 (PBE).

- DFT formation energy (kcal/mol of atoms) = -7.32
- spin magnetization (μB per formula unit) = 5.5
- space-group type = Pmc2_1, No. 26
- total energy (eV per atom) = -10.72

a b c (Å): 3.920 8.810 8.187
angles (deg): 90.00 90.00 90.00
Fractional positions:
Sm: 0.000 0.093 0.000
Sm: 0.000 0.907 0.500
Pu: 0.000 0.299 0.613
Pu: 0.000 0.701 0.113
Pu: 0.500 0.198 0.334
Pu: 0.500 0.427 0.944
Pu: 0.500 0.573 0.444
Pu: 0.500 0.802 0.834
Rh: 0.000 0.404 0.220
Rh: 0.000 0.596 0.720
Rh: 0.500 0.096 0.717
Rh: 0.500 0.904 0.217

3.
Entry from Alexandria via LeMat-Bulk: a relaxed structure of Sm2PuSn3Rh4 (PBE).

- DFT formation energy (kcal/mol of atoms) = -15.23
- spin magnetization (μB per formula unit) = 4.8
- space-group type = P-4m2, No. 115
- total energy (eV per atom) = -7.18

a b c (Å): 4.461 4.461 11.138
angles (deg): 90.00 90.00 90.00
Fractional positions:
Sm: 0.000 0.500 0.230
Sm: 0.500 0.000 0.770
Pu: 0.000 0.000 0.500
Sn: 0.000 0.500 0.872
Sn: 0.500 0.000 0.128
Sn: 0.500 0.500 0.500
Rh: 0.000 0.000 0.000
Rh: 0.000 0.500 0.641
Rh: 0.500 0.000 0.359
Rh: 0.500 0.500 0.000

4.
Entry from Alexandria via LeMat-Bulk: a relaxed structure of Sm2PuTa2Rh5 (PBE).

- DFT formation energy (kcal/mol of atoms) = -9.00
- spin magnetization (μB per formula unit) = 5.0
- space-group type = P4/mbm, No. 127
- total energy (eV per atom) = -8.81

a b c (Å): 10.346 10.346 3.751
angles (deg): 90.00 90.00 90.00
Fractional positions:
Sm: 0.177 0.323 0.000
Sm: 0.323 0.823 0.000
Sm: 0.677 0.177 0.000
Sm: 0.823 0.677 0.000
Pu: 0.000 0.000 0.000
Pu: 0.500 0.500 0.000
Ta: 0.121 0.621 0.000
Ta: 0.379 0.121 0.000
Ta: 0.621 0.879 0.000
Ta: 0.879 0.379 0.000
Rh: 0.000 0.500 0.500
Rh: 0.061 0.785 0.500
Rh: 0.215 0.061 0.500
Rh: 0.285 0.561 0.500
Rh: 0.439 0.285 0.500
Rh: 0.500 0.000 0.500
Rh: 0.561 0.715 0.500
Rh: 0.715 0.439 0.500
Rh: 0.785 0.939 0.500
Rh: 0.939 0.215 0.500